## P
# La2Si3O9 (PBE, relaxed)
data_La2Si3O9
_cell_length_a 5.530
_cell_length_b 7.472
_cell_length_c 8.783
_cell_angle_alpha 109.77
_cell_angle_beta 108.33
_cell_angle_gamma 90.05
_symmetry_space_group_name_H-M 'P -1'
_symmetry_Int_Tables_number 2
_symmetry_space_group_name_Hall '-P 1'
loop_
_atom_site_label
_atom_site_fract_x
_atom_site_fract_y
_atom_site_fract_z
La1 0.113 0.212 0.226
La2 0.210 0.827 0.420
Si1 0.236 0.500 0.000
Si2 0.331 0.459 0.662
Si3 0.431 0.074 0.862
O1 0.022 0.670 0.044
O2 0.134 0.014 0.711
O3 0.144 0.488 0.782
O4 0.261 0.243 0.525
O5 0.290 0.622 0.578
O6 0.297 0.000 0.000
O7 0.362 0.512 0.218
O8 0.423 0.986 0.289
O9 0.476 0.324 0.952
# M_tot = 0.00 μB per formula unit
# ρ = 5.221 g/cm³

## Q
# La2Si3O9 (PBE, relaxed)
data_La2Si3O9
_cell_length_a 6.8670
_cell_length_b 6.8670
_cell_length_c 10.2920
_cell_angle_alpha 90.00
_cell_angle_beta 90.00
_cell_angle_gamma 120.00
_symmetry_space_group_name_H-M 'P 63/m'
_symmetry_Int_Tables_number 176
_symmetry_space_group_name_Hall '-P 6c'
loop_
_atom_site_label
_atom_site_fract_x
_atom_site_fract_y
_atom_site_fract_z
La1 0.3333 0.6667 0.0136
Si1 0.0221 0.2647 0.7500
O1 0.0189 0.2324 0.2500
O2 0.0238 0.3975 0.6179
# M_tot = 0.00 μB per formula unit
# ρ = 3.999 g/cm³

Which of them is the most stable? Correct choice: Q.

## P
# LaSi2O2 (PBE, relaxed)
data_LaSi2O2
_cell_length_a 7.232
_cell_length_b 7.232
_cell_length_c 3.454
_cell_angle_alpha 90.00
_cell_angle_beta 90.00
_cell_angle_gamma 90.00
_symmetry_space_group_name_H-M 'P 4/m b m'
_symmetry_Int_Tables_number 127
_symmetry_space_group_name_Hall '-P 4 2ab'
loop_
_atom_site_label
_atom_site_fract_x
_atom_site_fract_y
_atom_site_fract_z
La1 0.000 0.000 0.000
Si1 0.112 0.388 0.000
O1 0.174 0.326 0.500
# M_tot = 0.00 μB per formula unit
# ρ = 4.174 g/cm³

## Q
# LaSi2O2 (PBE, relaxed)
data_LaSi2O2
_cell_length_a 4.285
_cell_length_b 4.285
_cell_length_c 8.239
_cell_angle_alpha 90.00
_cell_angle_beta 90.00
_cell_angle_gamma 90.00
_symmetry_space_group_name_H-M 'I 4/m m m'
_symmetry_Int_Tables_number 139
_symmetry_space_group_name_Hall '-I 4 2'
loop_
_atom_site_label
_atom_site_fract_x
_atom_site_fract_y
_atom_site_fract_z
La1 0.000 0.000 0.000
Si1 0.000 0.000 0.355
O1 0.000 0.500 0.250
# M_tot = 0.00 μB per formula unit
# ρ = 4.985 g/cm³

Which of them is the most stable? Correct choice: P.

## P
# LaSm2O (PBE, relaxed)
data_LaSm2O
_cell_length_a 3.232
_cell_length_b 3.232
_cell_length_c 9.260
_cell_angle_alpha 90.00
_cell_angle_beta 90.00
_cell_angle_gamma 90.00
_symmetry_space_group_name_H-M 'P 4/m m m'
_symmetry_Int_Tables_number 123
_symmetry_space_group_name_Hall '-P 4 2'
loop_
_atom_site_label
_atom_site_fract_x
_atom_site_fract_y
_atom_site_fract_z
La1 0.000 0.000 0.000
Sm1 0.500 0.500 0.333
O1 0.000 0.000 0.500
# M_tot = 0.00 μB per formula unit
# ρ = 7.823 g/cm³

## Q
# LaSm2O (PBE, relaxed)
data_LaSm2O
_cell_length_a 3.5802
_cell_length_b 3.5802
_cell_length_c 28.9705
_cell_angle_alpha 90.00
_cell_angle_beta 90.00
_cell_angle_gamma 120.00
_symmetry_space_group_name_H-M 'R -3 m'
_symmetry_Int_Tables_number 166
_symmetry_space_group_name_Hall '-R 3 2"'
loop_
_atom_site_label
_atom_site_fract_x
_atom_site_fract_y
_atom_site_fract_z
La1 0.0000 0.0000 0.0000
Sm1 0.0000 0.0000 0.1200
O1 0.0000 0.0000 0.5000
# M_tot = 0.17 μB per formula unit
# ρ = 7.058 g/cm³

Which of them is the most stable? Correct choice: Q.

## P
# LaSmO2 (PBE, relaxed)
data_LaSmO2
_cell_length_a 3.5651
_cell_length_b 3.5651
_cell_length_c 17.7006
_cell_angle_alpha 90.00
_cell_angle_beta 90.00
_cell_angle_gamma 120.00
_symmetry_space_group_name_H-M 'R -3 m'
_symmetry_Int_Tables_number 166
_symmetry_space_group_name_Hall '-R 3 2"'
loop_
_atom_site_label
_atom_site_fract_x
_atom_site_fract_y
_atom_site_fract_z
La1 0.0000 0.0000 0.0000
Sm1 0.0000 0.0000 0.5000
O1 0.0000 0.0000 0.2410
# M_tot = 0.00 μB per formula unit
# ρ = 8.214 g/cm³

## Q
# LaSmO2 (PBE, relaxed)
data_LaSmO2
_cell_length_a 3.5507
_cell_length_b 3.5507
_cell_length_c 18.3005
_cell_angle_alpha 90.00
_cell_angle_beta 90.00
_cell_angle_gamma 120.00
_symmetry_space_group_name_H-M 'R 3 m'
_symmetry_Int_Tables_number 160
_symmetry_space_group_name_Hall 'R 3 -2"'
loop_
_atom_site_label
_atom_site_fract_x
_atom_site_fract_y
_atom_site_fract_z
La1 0.0000 0.0000 0.0000
Sm1 0.0000 0.0000 0.1775
O1 0.0000 0.0000 0.5803
O2 0.0000 0.0000 0.7626
# M_tot = 0.00 μB per formula unit
# ρ = 8.009 g/cm³

Which of them is the most stable? Correct choice: P.

## P
# Sr3La4O9 (PBE, relaxed)
data_Sr3La4O9
_cell_length_a 11.894
_cell_length_b 7.320
_cell_length_c 13.521
_cell_angle_alpha 90.00
_cell_angle_beta 115.27
_cell_angle_gamma 90.00
_symmetry_space_group_name_H-M 'C 1 c 1'
_symmetry_Int_Tables_number 9
_symmetry_space_group_name_Hall 'C -2yc'
loop_
_atom_site_label
_atom_site_fract_x
_atom_site_fract_y
_atom_site_fract_z
Sr1 0.000 0.064 0.000
Sr2 0.319 0.086 0.556
Sr3 0.401 0.339 0.224
La1 0.123 0.371 0.639
La2 0.142 0.184 0.276
La3 0.194 0.376 0.933
La4 0.403 0.136 0.844
O1 0.019 0.476 0.751
O2 0.116 0.082 0.878
O3 0.128 0.315 0.457
O4 0.167 0.327 0.103
O5 0.207 0.070 0.681
O6 0.301 0.435 0.819
O7 0.366 0.157 0.392
O8 0.406 0.230 0.028
O9 0.437 0.366 0.652
# M_tot = 0.00 μB per formula unit
# ρ = 6.005 g/cm³

## Q
# Sr3La4O9 (PBE, relaxed)
data_Sr3La4O9
_cell_length_a 6.2275
_cell_length_b 6.2275
_cell_length_c 26.9777
_cell_angle_alpha 90.00
_cell_angle_beta 90.00
_cell_angle_gamma 120.00
_symmetry_space_group_name_H-M 'R 3'
_symmetry_Int_Tables_number 146
_symmetry_space_group_name_Hall 'R 3'
loop_
_atom_site_label
_atom_site_fract_x
_atom_site_fract_y
_atom_site_fract_z
Sr1 0.0000 0.0000 0.0000
Sr2 0.0000 0.0000 0.1794
Sr3 0.0000 0.0000 0.6112
La1 0.0000 0.0000 0.3073
La2 0.0000 0.0000 0.4393
La3 0.0000 0.0000 0.7431
La4 0.0000 0.0000 0.8715
O1 0.9997 0.6172 0.0277
O2 0.0033 0.3839 0.5890
O3 0.0451 0.6912 0.4755
# M_tot = 0.00 μB per formula unit
# ρ = 5.292 g/cm³

Which of them is the most stable? Correct choice: P.

## P
# SrLa2O2 (PBE, relaxed)
data_SrLa2O2
_cell_length_a 4.783
_cell_length_b 4.783
_cell_length_c 12.885
_cell_angle_alpha 90.00
_cell_angle_beta 90.00
_cell_angle_gamma 90.00
_symmetry_space_group_name_H-M 'I 4/m m m'
_symmetry_Int_Tables_number 139
_symmetry_space_group_name_Hall '-I 4 2'
loop_
_atom_site_label
_atom_site_fract_x
_atom_site_fract_y
_atom_site_fract_z
Sr1 0.000 0.000 0.000
La1 0.000 0.500 0.250
O1 0.000 0.000 0.201
# M_tot = 0.00 μB per formula unit
# ρ = 4.477 g/cm³

## Q
# SrLa2O2 (PBE, relaxed)
data_SrLa2O2
_cell_length_a 7.850
_cell_length_b 7.850
_cell_length_c 4.493
_cell_angle_alpha 90.00
_cell_angle_beta 90.00
_cell_angle_gamma 90.00
_symmetry_space_group_name_H-M 'P 4/m b m'
_symmetry_Int_Tables_number 127
_symmetry_space_group_name_Hall '-P 4 2ab'
loop_
_atom_site_label
_atom_site_fract_x
_atom_site_fract_y
_atom_site_fract_z
Sr1 0.000 0.000 0.000
La1 0.170 0.330 0.500
O1 0.211 0.289 0.000
# M_tot = 0.00 μB per formula unit
# ρ = 4.767 g/cm³

Which of them is the most stable? Correct choice: P.